1.
LaNb2Ir2 (PBE, optimized geometry); space-group type = P4/mbm; E above lowest polymorph = 221.1 meV/atom; N(E_F) = 8.72 states/eV/cell
1.0
8.009 0.000 0.000
0.000 8.009 0.000
0.000 0.000 2.936
La Nb Ir
2 4 4
direct
0.000 0.000 0.000
0.500 0.500 0.000
0.155 0.345 0.000
0.345 0.845 0.000
0.655 0.155 0.000
0.845 0.655 0.000
0.136 0.636 0.500
0.364 0.136 0.500
0.636 0.864 0.500
0.864 0.364 0.500

2.
Re2PtW (PBE, optimized geometry); space-group type = P2/m; E above lowest polymorph = 288.3 meV/atom; N(E_F) = 2.83 states/eV/cell
1.0
2.684 0.000 0.000
0.000 4.675 0.000
-0.122 0.000 4.994
Re Pt W
2 1 1
direct
0.158 0.000 0.247
0.842 0.000 0.753
0.000 0.500 0.500
0.500 0.500 0.000

3.
DyB2Pt7 (PBE, optimized geometry); space-group type = Cmmm; E_tot = -6.36 eV per atom; N(E_F) = 4.42 states/eV/cell
1.0
3.567 -5.580 0.000
3.567 5.580 0.000
0.000 0.000 4.178
Dy B Pt
1 2 7
direct
0.000 0.000 0.000
0.308 0.692 0.500
0.692 0.308 0.500
0.064 0.330 0.500
0.263 0.737 0.000
0.330 0.064 0.500
0.500 0.500 0.500
0.670 0.936 0.500
0.737 0.263 0.000
0.936 0.670 0.500

4.
Ca3ReRu (PBE, optimized geometry); space-group type = Pm-3m; E above lowest polymorph = 0.0 meV/atom; N(E_F) = 3.15 states/eV/cell
1.0
5.253 0.000 0.000
0.000 5.253 0.000
0.000 0.000 5.253
Ca Re Ru
3 1 1
direct
0.000 0.000 0.500
0.000 0.500 0.000
0.500 0.000 0.000
0.500 0.500 0.500
0.000 0.000 0.000

5.
Pm2YThAs4 (PBE, optimized geometry); space-group type = P2/m; E_tot = -6.77 eV per atom; N(E_F) = 1.55 states/eV/cell
1.0
7.287 0.000 0.000
0.000 4.221 0.000
-2.434 0.000 6.892
Pm Y Th As
2 1 1 4
direct
0.000 0.000 0.000
0.500 0.500 0.000
0.000 0.500 0.500
0.500 0.000 0.500
0.246 0.000 0.745
0.248 0.500 0.253
0.752 0.500 0.747
0.754 0.000 0.255

6.
YNi3 (PBE, optimized geometry); space-group type = R-3m; E_tot = -6.35 eV per atom; N(E_F) = 13.84 states/eV/cell
1.0
2.485 1.435 8.147
-2.485 1.435 8.147
0.000 -2.870 8.147
Y Ni
3 9
direct
0.000 0.000 0.000
0.139 0.139 0.139
0.861 0.861 0.861
0.081 0.582 0.582
0.333 0.333 0.333
0.418 0.418 0.919
0.418 0.919 0.418
0.500 0.500 0.500
0.582 0.081 0.582
0.582 0.582 0.081
0.667 0.667 0.667
0.919 0.418 0.418

7.
Nd2Tm6Mg (PBE, optimized geometry); space-group type = P4_2/mnm; E above lowest polymorph = 0.0 meV/atom; N(E_F) = 26.34 states/eV/cell
1.0
10.491 0.000 0.000
0.000 10.491 0.000
0.000 0.000 4.992
Nd Tm Mg
4 12 2
direct
0.165 0.165 0.000
0.335 0.665 0.500
0.665 0.335 0.500
0.835 0.835 0.000
0.001 0.665 0.500
0.165 0.499 0.000
0.169 0.831 0.000
0.331 0.331 0.500
0.335 0.999 0.500
0.499 0.165 0.000
0.501 0.835 0.000
0.665 0.001 0.500
0.669 0.669 0.500
0.831 0.169 0.000
0.835 0.501 0.000
0.999 0.335 0.500
0.000 0.000 0.500
0.500 0.500 0.000

8.
HfOs3Pd (PBE, optimized geometry); space-group type = Pm-3m; E above lowest polymorph = 301.3 meV/atom; N(E_F) = 6.57 states/eV/cell
1.0
4.755 0.000 0.000
0.000 4.755 0.000
0.000 0.000 4.755
Hf Os Pd
1 3 1
direct
0.000 0.000 0.000
0.000 0.000 0.500
0.000 0.500 0.000
0.500 0.000 0.000
0.500 0.500 0.500

9.
V5Co12Ge2 (PBE, optimized geometry); space-group type = C2/m; E_tot = -7.17 eV per atom; N(E_F) = 20.35 states/eV/cell
1.0
7.013 -2.495 0.000
7.013 2.495 0.000
-2.380 0.000 6.918
V Co Ge
5 12 2
direct
0.000 0.000 0.000
0.289 0.289 0.096
0.356 0.356 0.619
0.644 0.644 0.381
0.711 0.711 0.904
0.028 0.565 0.368
0.103 0.103 0.786
0.110 0.605 0.895
0.395 0.890 0.105
0.435 0.972 0.632
0.482 0.482 0.162
0.518 0.518 0.838
0.565 0.028 0.368
0.605 0.110 0.895
0.890 0.395 0.105
0.897 0.897 0.214
0.972 0.435 0.632
0.250 0.750 0.500
0.750 0.250 0.500

10.
Sc6P2S3Cl (PBE, optimized geometry); space-group type = C2/m; N(E_F) = 5.34 states/eV/cell; formation energy from raw total energies = -1.686 eV/atom
1.0
8.135 -1.865 0.000
8.135 1.865 0.000
-1.683 0.000 7.306
Sc P S Cl
6 2 3 1
direct
0.005 0.005 0.282
0.320 0.320 0.898
0.332 0.332 0.422
0.668 0.668 0.578
0.680 0.680 0.102
0.995 0.995 0.718
0.167 0.167 0.332
0.833 0.833 0.668
0.159 0.159 0.837
0.500 0.500 0.500
0.841 0.841 0.163
0.500 0.500 0.000

11.
Sr3CdHg5 (PBE, optimized geometry); space-group type = P6_3/mcm; E_tot = -1.27 eV per atom; N(E_F) = 11.31 states/eV/cell
1.0
9.651 0.000 0.000
-4.825 8.358 0.000
0.000 0.000 6.584
Sr Cd Hg
6 2 10
direct
0.000 0.368 0.250
0.000 0.632 0.750
0.368 0.000 0.250
0.368 0.368 0.750
0.632 0.000 0.750
0.632 0.632 0.250
0.000 0.000 0.000
0.000 0.000 0.500
0.000 0.286 0.750
0.000 0.714 0.250
0.286 0.000 0.750
0.286 0.286 0.250
0.333 0.667 0.000
0.333 0.667 0.500
0.667 0.333 0.000
0.667 0.333 0.500
0.714 0.000 0.250
0.714 0.714 0.750

12.
Tl2AgS2 (PBE, optimized geometry); space-group type = P2_1/c; E above lowest polymorph = 1.9 meV/atom; N(E_F) = 4.24 states/eV/cell; formation energy from raw total energies = -0.146 eV/atom
1.0
4.395 0.000 0.000
0.000 9.025 0.000
-3.078 0.000 6.730
Tl Ag S
4 2 4
direct
0.131 0.132 0.327
0.131 0.368 0.827
0.869 0.632 0.173
0.869 0.868 0.673
0.500 0.000 0.000
0.500 0.500 0.500
0.452 0.654 0.750
0.452 0.846 0.250
0.548 0.154 0.750
0.548 0.346 0.250

13.
Er3Mg6Cd2 (PBE, optimized geometry); space-group type = I4/mmm; E_tot = -2.23 eV per atom; N(E_F) = 8.04 states/eV/cell
1.0
-2.082 2.082 16.851
2.082 -2.082 16.851
2.082 2.082 -16.851
Er Mg Cd
3 6 2
direct
0.000 0.000 0.000
0.168 0.168 0.000
0.832 0.832 0.000
0.079 0.579 0.500
0.271 0.271 0.000
0.421 0.921 0.500
0.579 0.079 0.500
0.729 0.729 0.000
0.921 0.421 0.500
0.359 0.359 0.000
0.641 0.641 0.000

14.
CoRuSe (PBE, optimized geometry); space-group type = P3m1; E above lowest polymorph = 123.9 meV/atom; N(E_F) = 3.49 states/eV/cell; formation energy from raw total energies = 0.292 eV/atom
1.0
3.949 0.000 0.000
-1.975 3.420 0.000
0.000 0.000 3.084
Co Ru Se
1 1 1
direct
0.000 0.000 0.000
0.667 0.333 0.502
0.333 0.667 0.813

15.
CeTl4Br7 (PBE, optimized geometry); space-group type = C2/m; N(E_F) = 7.55 states/eV/cell; formation energy from raw total energies = -1.142 eV/atom
1.0
11.088 -2.855 0.000
11.088 2.855 0.000
-2.332 0.000 7.598
Ce Tl Br
1 4 7
direct
0.000 0.000 0.000
0.300 0.300 0.749
0.415 0.415 0.361
0.585 0.585 0.639
0.700 0.700 0.251
0.077 0.077 0.364
0.116 0.116 0.895
0.276 0.276 0.337
0.500 0.500 0.000
0.724 0.724 0.663
0.884 0.884 0.105
0.923 0.923 0.636

16.
CeMn2CrN4 (PBE, optimized geometry); space-group type = Cmcm; N(E_F) = 10.68 states/eV/cell; formation energy from raw total energies = -0.547 eV/atom
1.0
1.569 -5.963 0.000
1.569 5.963 0.000
0.000 0.000 9.489
Ce Mn Cr N
2 4 2 8
direct
0.067 0.933 0.750
0.933 0.067 0.250
0.398 0.602 0.539
0.398 0.602 0.961
0.602 0.398 0.039
0.602 0.398 0.461
0.205 0.795 0.250
0.795 0.205 0.750
0.000 0.000 0.000
0.000 0.000 0.500
0.309 0.691 0.113
0.309 0.691 0.387
0.395 0.605 0.750
0.605 0.395 0.250
0.691 0.309 0.613
0.691 0.309 0.887

17.
Ho6CuSb3 (PBE, optimized geometry); space-group type = Cmc2_1; N(E_F) = 16.02 states/eV/cell; formation energy from raw total energies = -0.526 eV/atom
1.0
5.535 -7.567 0.000
5.535 7.567 0.000
0.000 0.000 6.955
Ho Cu Sb
12 2 6
direct
0.021 0.979 0.500
0.100 0.557 0.068
0.253 0.747 0.587
0.254 0.362 0.669
0.362 0.254 0.169
0.443 0.900 0.068
0.557 0.100 0.568
0.638 0.746 0.669
0.746 0.638 0.169
0.747 0.253 0.087
0.900 0.443 0.568
0.979 0.021 0.000
0.152 0.848 0.224
0.848 0.152 0.724
0.064 0.279 0.301
0.279 0.064 0.801
0.426 0.574 0.976
0.574 0.426 0.476
0.721 0.936 0.301
0.936 0.721 0.801

18.
Li2DyZn2Si2 (PBE, optimized geometry); space-group type = R-3m; N(E_F) = 1.08 states/eV/cell; formation energy from raw total energies = -0.448 eV/atom
1.0
2.078 1.200 7.858
-2.078 1.200 7.858
0.000 -2.399 7.858
Li Dy Zn Si
2 1 2 2
direct
0.142 0.142 0.142
0.858 0.858 0.858
0.000 0.000 0.000
0.426 0.426 0.426
0.574 0.574 0.574
0.256 0.256 0.256
0.744 0.744 0.744

19.
Ba2ScRh (PBE, optimized geometry); space-group type = Pm; E above lowest polymorph = 2.5 meV/atom; N(E_F) = 3.88 states/eV/cell
1.0
3.972 0.000 0.000
0.000 3.750 0.000
-1.965 0.000 9.593
Ba Sc Rh
2 1 1
direct
0.000 0.000 0.000
0.297 0.500 0.603
0.640 0.500 0.283
0.160 0.000 0.322

20.
LiIn2I6 (PBE, optimized geometry); space-group type = P1; E above lowest polymorph = 47.8 meV/atom; N(E_F) = 2.56 states/eV/cell; formation energy from raw total energies = -0.540 eV/atom
1.0
7.735 0.000 0.000
-3.739 6.900 0.000
-0.611 -3.953 8.386
Li In I
1 2 6
direct
0.000 0.000 0.000
0.533 0.107 0.770
0.692 0.388 0.120
0.036 0.787 0.203
0.168 0.768 0.754
0.362 0.410 0.201
0.507 0.355 0.636
0.772 0.131 0.219
0.834 0.018 0.716